A plane-wave DFT calculation with GGA-PBE was carried out for a relaxed structure of Fe2NiIr2.

Crystal system: tetragonal
Total DFT energy (no corrections): -7.750 eV per atom
Size of the total moment: 0.001 μB per formula unit
Offset from the most stable computed form: 86.6 meV/atom
V: 66.2 Å³/f.u.
Calculated density: 13.91 g cm⁻³
ΔH_f (0 K): 0.34 eV/atom

Unit cell a=7.0884 b=7.0884 c=2.6369 alpha=90.00 beta=90.00 gamma=90.00
With the nearest neighbours (Å) after each atom.
Space group P4/mbm (No. 127)
Inequivalent atoms, fractional coordinates:
Fe1 0.1663 0.3337 0.0000  6 Ir 2.42-2.50, 2 Fe 2.64
Ni1 0.0000 0.0000 0.5000  2 Ni 2.64, 4 Ir 2.77
Ir1 0.1313 0.6313 0.5000  6 Fe 2.42-2.50, 3 Ir 2.63-2.64

A plane-wave DFT calculation with GGA-PBE was carried out for a relaxed structure of La2Nd5YHo.

Crystal system: orthorhombic
Total DFT energy (no corrections): -4.844 eV per atom
Size of the total moment: 0.000 μB per formula unit
V: 319.4 Å³/f.u.
Calculated density: 6.51 g cm⁻³
ΔH_f (0 K): 0.13 eV/atom

Unit cell a=5.7517 b=20.4957 c=10.8377 alpha=90.00 beta=90.00 gamma=90.00
With the nearest neighbours (Å) after each atom.
Space group Cmc2_1 (No. 36)
Inequivalent atoms, fractional coordinates:
La1 0.0000 0.1142 0.0000  1 Ho 3.47, 7 Nd 3.53-3.73, 2 Y 3.83
La2 0.0000 0.1172 0.5806  8 Nd 3.29-3.64
Nd1 0.0000 0.0150 0.2851  2 Y 3.35, 3 La 3.50-3.70
Nd2 0.0000 0.2775 0.5771  1 Y 3.12, 1 La 3.29, 2 Nd 3.44
Nd3 0.0000 0.2949 0.9692  2 Nd 3.44, 1 Y 3.46, 3 Ho 3.56-3.84, 3 La 3.60-3.72
Nd4 0.0000 0.3845 0.2870  6 Nd 3.62-3.93, 4 La 3.64-3.69, 1 Ho 3.77
Nd5 0.0000 0.4825 0.0091  2 Y 3.30-3.40, 2 La 3.61, 2 Nd 3.62-3.64
Y1 0.0000 0.4066 0.7300  6 Nd 3.12-3.46
Ho1 0.0000 0.2006 0.2753  2 La 3.47-3.72, 8 Nd 3.56-3.84, 2 Y 3.65

A plane-wave DFT calculation with GGA-PBE was carried out for a relaxed structure of BiPtAu.

Crystal system: tetragonal
Total DFT energy (no corrections): -4.416 eV per atom
Size of the total moment: 0.000 μB per formula unit
Offset from the most stable computed form: 98.1 meV/atom
V: 62.2 Å³/f.u.
Calculated density: 16.04 g cm⁻³
ΔH_f (0 K): -0.02 eV/atom

Unit cell a=3.7235 b=3.7235 c=8.9735 alpha=90.00 beta=90.00 gamma=90.00
With the nearest neighbours (Å) after each atom.
Space group I4mm (No. 107)
Inequivalent atoms, fractional coordinates:
Bi1 0.0000 0.0000 0.0000  5 Au 2.86-3.10, 5 Pt 2.97-3.11
Pt1 0.0000 0.0000 0.3470  5 Bi 2.97-3.11, 5 Au 3.00-3.02
Au1 0.0000 0.0000 0.6814  5 Bi 2.86-3.10, 5 Pt 3.00-3.02

A plane-wave DFT calculation with GGA-PBE was carried out for a relaxed structure of Li3Cd7Hg2.

Crystal system: monoclinic
Total DFT energy (no corrections): -1.182 eV per atom
Size of the total moment: 0.000 μB per formula unit
V: 261.8 Å³/f.u.
Calculated density: 7.67 g cm⁻³
ΔH_f (0 K): -0.12 eV/atom

Unit cell a=4.7977 b=3.0834 c=17.8387 alpha=90.00 beta=97.19 gamma=90.00
With the nearest neighbours (Å) after each atom.
Space group P2/m (No. 10)
Inequivalent atoms, fractional coordinates:
Li1 0.0000 0.0000 0.0000  8 Cd 2.81-2.85, 2 Li 3.08
Li2 0.3074 0.5000 0.6279  2 Li 3.08, 4 Hg 3.13, 8 Cd 3.24-3.41
Cd1 0.0783 0.5000 0.1325  2 Li 2.81, 6 Cd 3.08-3.10
Cd2 0.2312 0.0000 0.4594  4 Cd 2.80-3.08, 1 Hg 2.83
Cd3 0.3889 0.0000 0.7999  2 Hg 2.97-2.98, 6 Cd 3.08-3.10
Cd4 0.5000 0.5000 0.0000  4 Li 2.85, 2 Cd 3.08
Hg1 0.1586 0.0000 0.2995  3 Cd 2.83-2.98, 2 Hg 3.08, 4 Li 3.13

A plane-wave DFT calculation with GGA-PBE was carried out for a relaxed structure of DyHgSe2.

Crystal system: trigonal
Total DFT energy (no corrections): -4.013 eV per atom
Size of the total moment: 0.000 μB per formula unit
Offset from the most stable computed form: 12.7 meV/atom
Raw formation energy: -4.2 eV per formula unit
V: 110.6 Å³/f.u.
Calculated density: 7.82 g cm⁻³

Unit cell a=4.1769 b=4.1769 c=21.9584 alpha=90.00 beta=90.00 gamma=120.00
With the nearest neighbours (Å) after each atom.
Space group R3m (No. 160, hexagonal axes)
Inequivalent atoms, fractional coordinates:
Dy1 0.0000 0.0000 0.0000  6 Se 2.86-2.90
Hg1 0.0000 0.0000 0.8342  6 Se 3.18-3.20
Se1 0.0000 0.0000 0.4064  3 Dy 2.90, 3 Hg 3.18
Se2 0.0000 0.0000 0.5969  3 Dy 2.86

A plane-wave DFT calculation with GGA-PBE was carried out for a relaxed structure of Gd2PuGe.

Crystal system: trigonal
Total DFT energy (no corrections): -11.887 eV per atom
Size of the total moment: 7.373 μB per formula unit
Offset from the most stable computed form: 155.4 meV/atom
V: 113.8 Å³/f.u.
Calculated density: 9.21 g cm⁻³
ΔH_f (0 K): -0.11 eV/atom

Unit cell a=3.6197 b=3.6197 c=30.0941 alpha=90.00 beta=90.00 gamma=120.00
With the nearest neighbours (Å) after each atom.
Space group R-3m (No. 166, hexagonal axes)
Inequivalent atoms, fractional coordinates:
Gd1 0.0000 0.0000 0.2367  3 Ge 2.97
Pu1 0.0000 0.0000 0.0000  6 Gd 3.58, 6 Pu 3.62
Ge1 0.0000 0.0000 0.5000  6 Gd 2.97